[1]
Material: Th4As2IrS
Method: DFT, PBE-GGA
State: optimized geometry

Cell lengths 7.2932, 4.1140, 7.3913 Å; angles 90.00, 109.52, 90.00 degrees
Space group P2/m (No. 10)
Inequivalent atoms, fractional coordinates:
Th: 0.2356 0.0000 0.2342 [2 per cell]
Th: 0.2530 0.5000 0.7579 [2 per cell]
As: 0.0000 0.0000 0.5000 [1 per cell]
As: 0.5000 0.5000 0.5000 [1 per cell]
Ir: 0.0000 0.5000 0.0000 [1 per cell]
S: 0.5000 0.0000 0.0000 [1 per cell]

[2]
Material: LiEuScRu
Method: DFT, PBE-GGA
State: optimized geometry

energy of formation: -0.0676 eV/atom

Cell lengths 6.8436, 6.8436, 6.8436 Å; angles 90.00, 90.00, 90.00 degrees
Space group F-43m (No. 216)
Inequivalent atoms, fractional coordinates:
Li: 0.0000 0.0000 0.0000 [4 per cell]
Eu: 0.2500 0.2500 0.2500 [4 per cell]
Sc: 0.2500 0.2500 0.7500 [4 per cell]
Ru: 0.0000 0.0000 0.5000 [4 per cell]

Number 1: spin magnetization 0.00 μB/f.u., calculated total energy -63.0 eV/cell. Number 2: spin magnetization 6.86 μB/f.u., calculated total energy -112.3 eV/cell.